First-principles (PBE with a Hubbard U) data for a relaxed Na2TiCrP3O12 crystal, as listed in Alexandria via LeMat-Bulk.

## Properties
Mass density (g cm⁻³): 2.9
Space group: P2_13, No. 198
Raw total energy (eV per atom): -7.270

Geometry as POSCAR:
```
Na2TiCrP3O12
1.0
-7.238 -3.063 -6.039
-4.558 -4.334 7.661
-5.008 8.371 1.756
Na Ti Cr P O
8 4 4 12 48
direct
0.926 0.926 0.926 Na
0.356 0.856 0.644 Na
0.144 0.144 0.144 Na
0.074 0.426 0.574 Na
0.856 0.644 0.356 Na
0.426 0.574 0.074 Na
0.574 0.074 0.426 Na
0.644 0.356 0.856 Na
0.110 0.610 0.890 Ti
0.610 0.890 0.110 Ti
0.890 0.110 0.610 Ti
0.390 0.390 0.390 Ti
0.336 0.164 0.836 Cr
0.164 0.836 0.336 Cr
0.836 0.336 0.164 Cr
0.664 0.664 0.664 Cr
0.792 0.622 0.977 P
0.878 0.023 0.292 P
0.378 0.477 0.708 P
0.477 0.708 0.378 P
0.292 0.878 0.023 P
0.122 0.523 0.208 P
0.622 0.977 0.792 P
0.208 0.122 0.523 P
0.977 0.792 0.622 P
0.523 0.208 0.122 P
0.708 0.378 0.477 P
0.023 0.292 0.878 P
0.939 0.266 0.006 O
0.439 0.234 0.994 O
0.061 0.766 0.494 O
0.234 0.994 0.439 O
0.494 0.061 0.766 O
0.994 0.439 0.234 O
0.266 0.006 0.939 O
0.006 0.939 0.266 O
0.766 0.494 0.061 O
0.734 0.506 0.561 O
0.506 0.561 0.734 O
0.561 0.734 0.506 O
0.017 0.440 0.828 O
0.517 0.060 0.172 O
0.983 0.940 0.672 O
0.060 0.172 0.517 O
0.672 0.983 0.940 O
0.172 0.517 0.060 O
0.766 0.956 0.204 O
0.440 0.828 0.017 O
0.940 0.672 0.983 O
0.560 0.328 0.483 O
0.328 0.483 0.560 O
0.483 0.560 0.328 O
0.044 0.704 0.734 O
0.544 0.796 0.266 O
0.956 0.204 0.766 O
0.796 0.266 0.544 O
0.593 0.832 0.749 O
0.749 0.593 0.832 O
0.832 0.749 0.593 O
0.668 0.251 0.093 O
0.249 0.907 0.168 O
0.168 0.249 0.907 O
0.751 0.407 0.332 O
0.251 0.093 0.668 O
0.332 0.751 0.407 O
0.093 0.668 0.251 O
0.407 0.332 0.751 O
0.907 0.168 0.249 O
0.456 0.296 0.234 O
0.234 0.456 0.296 O
0.296 0.234 0.456 O
0.204 0.766 0.956 O
0.734 0.044 0.704 O
0.704 0.734 0.044 O
0.266 0.544 0.796 O
0.828 0.017 0.440 O
```